VASP calculation (GGA+U) on BaVBrF2 after structural relaxation.

The structure in POSCAR format:
```
BaVBrF2
1.0
4.3744 0.0000 0.0000
0.0000 6.6543 0.0000
0.0000 0.0000 4.3744
F Br Ba V
2 1 1 1
Direct
0.0000 0.0000 0.5000
0.5000 0.0000 0.0000
0.5000 0.5000 0.5000
0.0000 0.5000 0.0000
0.0000 0.0000 0.0000
```

DFT total energy: -4.81 eV per atom
size of the total moment: 3.90 μB per formula unit
D(E_F): 0.9 states/eV/f.u.